1.
TbUTcOs: relaxed, PBE-GGA.

Cell lengths 4.818, 4.818, 4.818 Å; angles 60.00, 60.00, 60.00 degrees
Each line ends with the local moment (μB).
Fractional coordinates of all 4 atoms:
U: 0.500 0.500 0.500  1.35
Tc: 0.750 0.750 0.750  -0.17
Os: 0.250 0.250 0.250  -0.11
Tb: 0.000 0.000 0.000  0.03

Output
Symmetry   F-43m (216)
Formation energy from the elements   0.016 eV per atom

=====

2.
CrCd3Cl: relaxed, PBE-GGA.

Cell lengths 5.413, 5.413, 5.413 Å; angles 90.00, 90.00, 90.00 degrees
Each line ends with the local moment (μB).
Fractional coordinates of all 5 atoms:
Cd: 0.500 0.000 0.000  0.05
Cd: 0.000 0.000 0.500  0.00
Cd: 0.000 0.500 0.000  0.03
Cr: 0.000 0.000 0.000  3.97
Cl: 0.500 0.500 0.500  0.04

Output
Symmetry   Pm-3m (221)
Energy relative to the elements, uncorrected   0.333 eV per atom
Energy above the most stable polymorph in this dataset   0 meV/atom